UGa2HgO8: optimized geometry, PBE-GGA.

Results
energy relative to the elements, uncorrected: -1.63 eV per atom

a b c (Å): 6.981 6.717 6.483
angles (deg): 90.00 95.56 90.00
Space group C2/m (No. 12)
Symmetry-distinct sites (fractional):
U 0.000 0.000 0.000 (multiplicity 2)
Ga 0.010 0.500 0.253 (multiplicity 4)
Hg 0.000 0.000 0.500 (multiplicity 2)
O 0.000 0.312 0.000 (multiplicity 4)
O 0.000 0.322 0.500 (multiplicity 4)
O 0.204 0.000 0.754 (multiplicity 4)
O 0.222 0.000 0.207 (multiplicity 4)



BeReOs: optimized geometry, PBE-GGA.

Results
excess energy over the best structure of this formula in the dataset: 0.0 meV per atom
calculated formation energy: -0.53 eV per formula unit

a b c (Å): 2.842 2.842 9.209
angles (deg): 90.00 90.00 90.00
Space group I4mm (No. 107)
Symmetry-distinct sites (fractional):
Be 0.000 0.000 0.000 (multiplicity 2)
Re 0.000 0.000 0.336 (multiplicity 2)
Os 0.000 0.000 0.649 (multiplicity 2)



TaAu3C: optimized geometry, PBE-GGA.

Results
excess energy over the best structure of this formula in the dataset: 0.0 meV per atom
calculated formation energy: 5.49 eV per formula unit

a b c (Å): 4.348 4.348 4.348
angles (deg): 90.00 90.00 90.00
Space group Pm-3m (No. 221)
Symmetry-distinct sites (fractional):
Ta 0.000 0.000 0.000 (multiplicity 1)
Au 0.000 0.500 0.500 (multiplicity 3)
C 0.500 0.500 0.500 (multiplicity 1)



NbSnI4: optimized geometry, PBE-GGA.

Results
energy relative to the elements, uncorrected: -0.27 eV per atom

a b c (Å): 15.269 10.981 6.375
angles (deg): 90.00 91.56 90.00
Space group C2/c (No. 15)
Symmetry-distinct sites (fractional):
Nb 0.000 0.065 0.250 (multiplicity 4)
Sn 0.000 0.475 0.250 (multiplicity 4)
I 0.115 0.277 0.107 (multiplicity 8)
I 0.118 0.100 0.597 (multiplicity 8)